# 1
Here is a relaxed structure of U3Al from the Open Quantum Materials Database. Energies are from PBE.

SG: I4/mmm, No. 139
Mass density, Mg/m³: 15.48
Total DFT energy (no corrections), eV per atom: -9.361
Magnetization, μB per formula unit: 0.3

a = 5.208 Å, b = 5.208 Å, c = 5.208 Å
α = 130.63°, β = 130.63°, γ = 72.40°
Last column: magnetic moment on the atom in μB.
Fractional positions:
U 0.500 0.500 0.000  0.09
Al 0.000 0.000 0.000  0.00
U 0.250 0.750 0.500  0.09
U 0.750 0.250 0.500  0.09

# 2
Here is a relaxed structure of NaLaAu2 from the Open Quantum Materials Database. Energies are from PBE.

SG: Pmmn, No. 59
Energy above the lowest structure with this stoichiometry, kJ/mol of formula units: 0.1
Mass density, Mg/m³: 9.49
Total DFT energy (no corrections), eV per atom: -3.825
Magnetization, μB per formula unit: 0.0

a = 7.288 Å, b = 5.162 Å, c = 10.343 Å
α = 90.00°, β = 90.00°, γ = 90.00°
Fractional positions:
La 0.750 0.750 0.881
La 0.250 0.250 0.619
Na 0.750 0.250 0.624
Au 0.000 0.250 0.869
Au 0.500 0.250 0.868
Au 0.000 0.750 0.131
La 0.250 0.250 0.119
Au 0.500 0.750 0.631
Na 0.250 0.750 0.376
Au 0.500 0.750 0.132
Na 0.250 0.750 0.876
Au 0.000 0.750 0.632
Na 0.750 0.250 0.124
Au 0.500 0.250 0.369
Au 0.000 0.250 0.368
La 0.750 0.750 0.381

# 3
Here is a relaxed structure of Nd2Y2CBr5 from the Open Quantum Materials Database. Energies are from PBE.

SG: C2/m, No. 12
Energy above the lowest structure with this stoichiometry, kJ/mol of formula units: 5.8
Mass density, Mg/m³: 5.25
Total DFT energy (no corrections), eV per atom: -5.439
Magnetization, μB per formula unit: 0.2

a = 9.223 Å, b = 9.223 Å, c = 8.214 Å
α = 103.24°, β = 103.24°, γ = 24.13°
Fractional positions:
Br 0.161 0.161 0.354
C 0.500 0.500 0.000
Br 0.839 0.839 0.646
Y 0.000 0.000 0.201
Br 0.834 0.834 0.187
Y 0.000 0.000 0.799
Nd 0.644 0.644 0.076
Br 0.166 0.166 0.813
Br 0.500 0.500 0.500
Nd 0.356 0.356 0.924

# 4
Here is a relaxed structure of DyBiAsO5 from the Open Quantum Materials Database. Energies are from PBE.

SG: C2/m, No. 12
Energy above the lowest structure with this stoichiometry, kJ/mol of formula units: 55.7
Mass density, Mg/m³: 8.30
Total DFT energy (no corrections), eV per atom: -6.607
Magnetization, μB per formula unit: 0.0

a = 6.733 Å, b = 6.733 Å, c = 7.127 Å
α = 115.05°, β = 115.05°, γ = 47.29°
Fractional positions:
Dy 0.326 0.326 0.911
O 0.746 0.254 0.000
O 0.208 0.208 0.202
O 0.654 0.654 0.389
Dy 0.674 0.674 0.089
O 0.368 0.891 0.780
O 0.632 0.109 0.220
Bi 0.952 0.952 0.732
O 0.346 0.346 0.611
O 0.254 0.746 0.000
O 0.891 0.368 0.780
As 0.371 0.371 0.380
Bi 0.048 0.048 0.268
O 0.792 0.792 0.798
O 0.109 0.632 0.220
As 0.629 0.629 0.620